Record 1
! PBE-GGA Ta2GaPd8, relaxed; values from VASP
! DFT formation energy (meV per atom): -435
! Total magnetization (μB per cell): 0.000
! Calculated density (Mg/m³): 12.125
! V (Å³ per atom): 16.0
&SYSTEM
  ibrav = 0, nat = 11, ntyp = 3
/
ATOMIC_SPECIES
Ta 180.95 Ta.upf
Ga 69.72 Ga.upf
Pd 106.42 Pd.upf
CELL_PARAMETERS angstrom
-2.2795 2.8576 6.7434
2.2795 -2.8576 6.7434
2.2795 2.8576 -6.7434
ATOMIC_POSITIONS crystal
Ta 0.1886 0.1886 0.0000
Ta 0.8114 0.8114 0.0000
Ga 0.5000 0.5000 0.0000
Pd 0.0972 0.3607 0.7364
Pd 0.2419 0.0000 0.2419
Pd 0.3166 0.8166 0.5000
Pd 0.3757 0.6393 0.7364
Pd 0.6243 0.3607 0.2636
Pd 0.6834 0.1834 0.5000
Pd 0.7581 0.0000 0.7581
Pd 0.9028 0.6393 0.2636


Record 2
! PBE-GGA TaGaPd2, relaxed; values from VASP
! DFT formation energy (meV per atom): -436
! Total magnetization (μB per cell): 0.000
! Calculated density (Mg/m³): 12.309
! V (Å³ per atom): 15.6
&SYSTEM
  ibrav = 0, nat = 4, ntyp = 3
/
ATOMIC_SPECIES
Ta 180.95 Ta.upf
Ga 69.72 Ga.upf
Pd 106.42 Pd.upf
CELL_PARAMETERS angstrom
2.8798 0.0000 0.0000
0.0000 2.8798 0.0000
0.0000 0.0000 7.5398
ATOMIC_POSITIONS crystal
Ta 0.0000 0.0000 0.0000
Ga 0.0000 0.0000 0.5000
Pd 0.5000 0.5000 0.2668
Pd 0.5000 0.5000 0.7332


Record 3
! PBE-GGA Ta2GaPd, relaxed; values from VASP
! DFT formation energy (meV per atom): 239
! Total magnetization (μB per cell): 0.000
! Calculated density (Mg/m³): 12.433
! V (Å³ per atom): 18.0
&SYSTEM
  ibrav = 0, nat = 16, ntyp = 3
/
ATOMIC_SPECIES
Ta 180.95 Ta.upf
Ga 69.72 Ga.upf
Pd 106.42 Pd.upf
CELL_PARAMETERS angstrom
7.2426 0.0000 0.0000
0.0000 7.2426 0.0000
0.0000 0.0000 5.4795
ATOMIC_POSITIONS crystal
Ta 0.2439 0.2500 0.1250
Ta 0.2500 0.7439 0.3750
Ta 0.2500 0.7561 0.8750
Ta 0.2561 0.2500 0.6250
Ta 0.7439 0.7500 0.6250
Ta 0.7500 0.2439 0.8750
Ta 0.7500 0.2561 0.3750
Ta 0.7561 0.7500 0.1250
Ga 0.0000 0.0000 0.5000
Ga 0.0000 0.5000 0.7500
Ga 0.5000 0.0000 0.2500
Ga 0.5000 0.5000 0.0000
Pd 0.0000 0.0000 0.0000
Pd 0.0000 0.5000 0.2500
Pd 0.5000 0.0000 0.7500
Pd 0.5000 0.5000 0.5000


Record 4
! PBE-GGA TaGaPd, relaxed; values from VASP
! DFT formation energy (meV per atom): -392
! Total magnetization (μB per cell): 0.000
! Calculated density (Mg/m³): 12.484
! V (Å³ per atom): 15.8
&SYSTEM
  ibrav = 0, nat = 6, ntyp = 3
/
ATOMIC_SPECIES
Ta 180.95 Ta.upf
Ga 69.72 Ga.upf
Pd 106.42 Pd.upf
CELL_PARAMETERS angstrom
2.9307 0.0000 0.0000
0.0000 2.9307 0.0000
0.0000 0.0000 11.0606
ATOMIC_POSITIONS crystal
Ta 0.0000 0.0000 0.0000
Ta 0.5000 0.5000 0.5000
Ga 0.0000 0.0000 0.3303
Ga 0.5000 0.5000 0.8303
Pd 0.0000 0.0000 0.6800
Pd 0.5000 0.5000 0.1800


Record 5
! PBE-GGA TaGaPd2, relaxed; values from VASP
! DFT formation energy (meV per atom): 29
! Total magnetization (μB per cell): 0.000
! Calculated density (Mg/m³): 11.158
! V (Å³ per atom): 17.2
&SYSTEM
  ibrav = 0, nat = 16, ntyp = 3
/
ATOMIC_SPECIES
Ta 180.95 Ta.upf
Ga 69.72 Ga.upf
Pd 106.42 Pd.upf
CELL_PARAMETERS angstrom
7.0894 0.0000 0.0000
0.0000 7.0894 0.0000
0.0000 0.0000 5.4898
ATOMIC_POSITIONS crystal
Ta 0.0000 0.0000 0.0000
Ta 0.0000 0.5000 0.2500
Ta 0.5000 0.0000 0.7500
Ta 0.5000 0.5000 0.5000
Ga 0.0000 0.0000 0.5000
Ga 0.0000 0.5000 0.7500
Ga 0.5000 0.0000 0.2500
Ga 0.5000 0.5000 0.0000
Pd 0.2397 0.2500 0.6250
Pd 0.2500 0.7397 0.8750
Pd 0.2500 0.7603 0.3750
Pd 0.2603 0.2500 0.1250
Pd 0.7397 0.7500 0.1250
Pd 0.7500 0.2397 0.3750
Pd 0.7500 0.2603 0.8750
Pd 0.7603 0.7500 0.6250


Record 6
! PBE-GGA TaGa2Pd2, relaxed; values from VASP
! Energy above the most stable polymorph in this dataset (meV per atom): 0
! DFT formation energy (meV per atom): -321
! Total magnetization (μB per cell): 0.000
! Calculated density (Mg/m³): 11.257
! V (Å³ per atom): 15.7
&SYSTEM
  ibrav = 0, nat = 10, ntyp = 3
/
ATOMIC_SPECIES
Ta 180.95 Ta.upf
Ga 69.72 Ga.upf
Pd 106.42 Pd.upf
CELL_PARAMETERS angstrom
7.3905 0.0000 0.0000
0.0000 7.3905 0.0000
0.0000 0.0000 2.8803
ATOMIC_POSITIONS crystal
Ta 0.0000 0.0000 0.0000
Ta 0.5000 0.5000 0.0000
Ga 0.1419 0.3581 0.0000
Ga 0.3581 0.8581 0.0000
Ga 0.6419 0.1419 0.0000
Ga 0.8581 0.6419 0.0000
Pd 0.1567 0.6567 0.5000
Pd 0.3433 0.1567 0.5000
Pd 0.6567 0.8433 0.5000
Pd 0.8433 0.3433 0.5000


Record 7
! PBE-GGA Ta2GaPd6, relaxed; values from VASP
! DFT formation energy (meV per atom): -181
! Total magnetization (μB per cell): 0.000
! Calculated density (Mg/m³): 11.072
! V (Å³ per atom): 17.8
&SYSTEM
  ibrav = 0, nat = 9, ntyp = 3
/
ATOMIC_SPECIES
Ta 180.95 Ta.upf
Ga 69.72 Ga.upf
Pd 106.42 Pd.upf
CELL_PARAMETERS angstrom
6.4717 -2.8295 0.0000
6.4717 2.8295 0.0000
-0.7097 0.0000 4.3823
ATOMIC_POSITIONS crystal
Ta 0.1833 0.1833 0.0980
Ta 0.8167 0.8167 0.9020
Ga 0.5000 0.5000 0.5000
Pd 0.0935 0.5951 0.4003
Pd 0.2491 0.7509 0.0000
Pd 0.4049 0.9065 0.5997
Pd 0.5951 0.0935 0.4003
Pd 0.7509 0.2491 0.0000
Pd 0.9065 0.4049 0.5997


Record 8
! PBE-GGA TaGa2Pd2, relaxed; values from VASP
! Energy above the most stable polymorph in this dataset (meV per atom): 27
! DFT formation energy (meV per atom): -294
! Total magnetization (μB per cell): 0.000
! Calculated density (Mg/m³): 11.221
! V (Å³ per atom): 15.8
&SYSTEM
  ibrav = 0, nat = 10, ntyp = 3
/
ATOMIC_SPECIES
Ta 180.95 Ta.upf
Ga 69.72 Ga.upf
Pd 106.42 Pd.upf
CELL_PARAMETERS angstrom
7.4734 0.0000 0.0000
0.0000 7.4734 0.0000
0.0000 0.0000 2.8257
ATOMIC_POSITIONS crystal
Ta 0.0000 0.0000 0.0000
Ta 0.5000 0.5000 0.0000
Ga 0.1656 0.3344 0.5000
Ga 0.3344 0.8344 0.5000
Ga 0.6656 0.1656 0.5000
Ga 0.8344 0.6656 0.5000
Pd 0.1335 0.6335 0.0000
Pd 0.3665 0.1335 0.0000
Pd 0.6335 0.8665 0.0000
Pd 0.8665 0.3665 0.0000


Record 9
! PBE-GGA Tb2Ga5Pd5, relaxed; values from VASP
! DFT formation energy (meV per atom): -758
! Total magnetization (μB per cell): 0.000
! Calculated density (Mg/m³): 9.267
! V (Å³ per atom): 17.9
&SYSTEM
  ibrav = 0, nat = 12, ntyp = 3
/
ATOMIC_SPECIES
Tb 158.93 Tb.upf
Ga 69.72 Ga.upf
Pd 106.42 Pd.upf
CELL_PARAMETERS angstrom
4.3126 0.0000 0.0000
0.0000 5.3219 0.0000
0.0000 0.0000 9.3574
ATOMIC_POSITIONS crystal
Tb 0.0000 0.0000 0.0000
Tb 0.0000 0.5000 0.5000
Ga 0.5000 0.0000 0.5000
Ga 0.5000 0.2456 0.2363
Ga 0.5000 0.2456 0.7637
Ga 0.5000 0.7544 0.2363
Ga 0.5000 0.7544 0.7637
Pd 0.0000 0.0000 0.3370
Pd 0.0000 0.0000 0.6630
Pd 0.0000 0.5000 0.1891
Pd 0.0000 0.5000 0.8109
Pd 0.5000 0.5000 0.0000


Record 10
! PBE-GGA TbGa2Pd2, relaxed; values from VASP
! DFT formation energy (meV per atom): -770
! Total magnetization (μB per cell): 0.000
! Calculated density (Mg/m³): 9.082
! V (Å³ per atom): 18.7
&SYSTEM
  ibrav = 0, nat = 10, ntyp = 3
/
ATOMIC_SPECIES
Tb 158.93 Tb.upf
Ga 69.72 Ga.upf
Pd 106.42 Pd.upf
CELL_PARAMETERS angstrom
4.2192 0.0000 0.0000
0.0000 4.2192 0.0000
0.0000 0.0000 10.5011
ATOMIC_POSITIONS crystal
Tb 0.0000 0.0000 0.0000
Tb 0.5000 0.5000 0.5000
Ga 0.0000 0.0000 0.3809
Ga 0.0000 0.0000 0.6191
Ga 0.5000 0.5000 0.1191
Ga 0.5000 0.5000 0.8809
Pd 0.0000 0.5000 0.2500
Pd 0.0000 0.5000 0.7500
Pd 0.5000 0.0000 0.2500
Pd 0.5000 0.0000 0.7500


Record 11
! PBE-GGA TbGaPd6, relaxed; values from VASP
! Energy above the most stable polymorph in this dataset (meV per atom): 382
! DFT formation energy (meV per atom): -281
! Total magnetization (μB per cell): 0.000
! Calculated density (Mg/m³): 8.665
! V (Å³ per atom): 20.8
&SYSTEM
  ibrav = 0, nat = 8, ntyp = 3
/
ATOMIC_SPECIES
Tb 158.93 Tb.upf
Ga 69.72 Ga.upf
Pd 106.42 Pd.upf
CELL_PARAMETERS angstrom
2.7291 1.5757 6.4411
-2.7291 1.5757 6.4411
0.0000 -3.1513 6.4411
ATOMIC_POSITIONS crystal
Tb 0.0000 0.0000 0.0000
Ga 0.5000 0.5000 0.5000
Pd 0.0631 0.5737 0.5737
Pd 0.4263 0.4263 0.9369
Pd 0.4263 0.9369 0.4263
Pd 0.5737 0.0631 0.5737
Pd 0.5737 0.5737 0.0631
Pd 0.9369 0.4263 0.4263


Record 12
! PBE-GGA TbGa2Pd, relaxed; values from VASP
! DFT formation energy (meV per atom): -593
! Total magnetization (μB per cell): 0.000
! Calculated density (Mg/m³): 9.088
! V (Å³ per atom): 18.5
&SYSTEM
  ibrav = 0, nat = 16, ntyp = 3
/
ATOMIC_SPECIES
Tb 158.93 Tb.upf
Ga 69.72 Ga.upf
Pd 106.42 Pd.upf
CELL_PARAMETERS angstrom
6.6633 0.0000 0.0000
0.0000 6.6633 0.0000
0.0000 0.0000 6.6633
ATOMIC_POSITIONS crystal
Tb 0.0000 0.0000 0.0000
Tb 0.0000 0.5000 0.5000
Tb 0.5000 0.0000 0.5000
Tb 0.5000 0.5000 0.0000
Ga 0.2500 0.2500 0.2500
Ga 0.2500 0.2500 0.7500
Ga 0.2500 0.7500 0.2500
Ga 0.2500 0.7500 0.7500
Ga 0.7500 0.2500 0.2500
Ga 0.7500 0.2500 0.7500
Ga 0.7500 0.7500 0.2500
Ga 0.7500 0.7500 0.7500
Pd 0.0000 0.0000 0.5000
Pd 0.0000 0.5000 0.0000
Pd 0.5000 0.0000 0.0000
Pd 0.5000 0.5000 0.5000


Record 13
! PBE-GGA Tb2GaPd5, relaxed; values from VASP
! DFT formation energy (meV per atom): -808
! Total magnetization (μB per cell): 0.000
! Calculated density (Mg/m³): 10.437
! V (Å³ per atom): 18.3
&SYSTEM
  ibrav = 0, nat = 16, ntyp = 3
/
ATOMIC_SPECIES
Tb 158.93 Tb.upf
Ga 69.72 Ga.upf
Pd 106.42 Pd.upf
CELL_PARAMETERS angstrom
5.9167 0.0000 0.0000
0.0000 5.9167 0.0000
0.0000 0.0000 8.3590
ATOMIC_POSITIONS crystal
Tb 0.0000 0.5000 0.0000
Tb 0.0000 0.5000 0.5000
Tb 0.5000 0.0000 0.0000
Tb 0.5000 0.0000 0.5000
Ga 0.0000 0.0000 0.0916
Ga 0.5000 0.5000 0.5916
Pd 0.0000 0.0000 0.5016
Pd 0.2399 0.2399 0.7562
Pd 0.2399 0.7601 0.7562
Pd 0.2601 0.2601 0.2562
Pd 0.2601 0.7399 0.2562
Pd 0.5000 0.5000 0.0016
Pd 0.7399 0.2601 0.2562
Pd 0.7399 0.7399 0.2562
Pd 0.7601 0.2399 0.7562
Pd 0.7601 0.7601 0.7562


Record 14
! PBE-GGA TbGa5Pd2, relaxed; values from VASP
! DFT formation energy (meV per atom): -541
! Total magnetization (μB per cell): 0.000
! Calculated density (Mg/m³): 8.244
! V (Å³ per atom): 18.1
&SYSTEM
  ibrav = 0, nat = 16, ntyp = 3
/
ATOMIC_SPECIES
Tb 158.93 Tb.upf
Ga 69.72 Ga.upf
Pd 106.42 Pd.upf
CELL_PARAMETERS angstrom
3.9760 0.0000 0.0000
0.0000 7.3456 0.0000
0.0000 0.0000 9.9371
ATOMIC_POSITIONS crystal
Tb 0.0000 0.0000 0.0000
Tb 0.5000 0.5000 0.5000
Ga 0.0000 0.1920 0.3594
Ga 0.0000 0.1920 0.6406
Ga 0.0000 0.5000 0.0000
Ga 0.0000 0.8080 0.3594
Ga 0.0000 0.8080 0.6406
Ga 0.5000 0.0000 0.5000
Ga 0.5000 0.3080 0.1406
Ga 0.5000 0.3080 0.8594
Ga 0.5000 0.6920 0.1406
Ga 0.5000 0.6920 0.8594
Pd 0.0000 0.5000 0.2515
Pd 0.0000 0.5000 0.7485
Pd 0.5000 0.0000 0.2485
Pd 0.5000 0.0000 0.7515


Record 15
! PBE-GGA TbGa5Pd7, relaxed; values from VASP
! DFT formation energy (meV per atom): -634
! Total magnetization (μB per cell): 0.000
! Calculated density (Mg/m³): 9.835
! V (Å³ per atom): 16.3
&SYSTEM
  ibrav = 0, nat = 13, ntyp = 3
/
ATOMIC_SPECIES
Tb 158.93 Tb.upf
Ga 69.72 Ga.upf
Pd 106.42 Pd.upf
CELL_PARAMETERS angstrom
-2.6687 4.5161 4.3864
2.6687 -4.5161 4.3864
2.6687 4.5161 -4.3864
ATOMIC_POSITIONS crystal
Tb 0.0000 0.0000 0.0000
Ga 0.0009 0.0138 0.4948
Ga 0.0009 0.5060 0.9870
Ga 0.2336 0.7336 0.5000
Ga 0.5190 0.0138 0.0130
Ga 0.5190 0.5060 0.5052
Pd 0.2241 0.5187 0.7054
Pd 0.3367 0.3367 0.0000
Pd 0.3368 0.9974 0.3394
Pd 0.6580 0.9974 0.6606
Pd 0.6615 0.6615 0.0000
Pd 0.7812 0.2812 0.5000
Pd 0.8133 0.5187 0.2946


Record 16
! PBE-GGA Tb2GaPd4, relaxed; values from VASP
! Energy above the most stable polymorph in this dataset (meV per atom): 0
! DFT formation energy (meV per atom): -691
! Total magnetization (μB per cell): 0.000
! Calculated density (Mg/m³): 9.042
! V (Å³ per atom): 21.3
&SYSTEM
  ibrav = 0, nat = 14, ntyp = 3
/
ATOMIC_SPECIES
Tb 158.93 Tb.upf
Ga 69.72 Ga.upf
Pd 106.42 Pd.upf
CELL_PARAMETERS angstrom
6.1871 0.0000 0.0000
0.0000 6.1871 0.0000
0.0000 0.0000 7.8029
ATOMIC_POSITIONS crystal
Tb 0.0000 0.5000 0.2500
Tb 0.0000 0.5000 0.7500
Tb 0.5000 0.0000 0.2500
Tb 0.5000 0.0000 0.7500
Ga 0.0000 0.0000 0.0000
Ga 0.5000 0.5000 0.5000
Pd 0.2192 0.2192 0.5000
Pd 0.2192 0.7808 0.5000
Pd 0.2808 0.2808 0.0000
Pd 0.2808 0.7192 0.0000
Pd 0.7192 0.2808 0.0000
Pd 0.7192 0.7192 0.0000
Pd 0.7808 0.2192 0.5000
Pd 0.7808 0.7808 0.5000


Record 17
! PBE-GGA TbGa2Pd7, relaxed; values from VASP
! Energy above the most stable polymorph in this dataset (meV per atom): 0
! DFT formation energy (meV per atom): -663
! Total magnetization (μB per cell): 0.000
! Calculated density (Mg/m³): 10.108
! V (Å³ per atom): 17.1
&SYSTEM
  ibrav = 0, nat = 10, ntyp = 3
/
ATOMIC_SPECIES
Tb 158.93 Tb.upf
Ga 69.72 Ga.upf
Pd 106.42 Pd.upf
CELL_PARAMETERS angstrom
-2.0642 2.0642 10.0566
2.0642 -2.0642 10.0566
2.0642 2.0642 -10.0566
ATOMIC_POSITIONS crystal
Tb 0.0000 0.0000 0.0000
Ga 0.3241 0.3241 0.0000
Ga 0.6759 0.6759 0.0000
Pd 0.1028 0.6028 0.5000
Pd 0.2500 0.7500 0.5000
Pd 0.3972 0.8972 0.5000
Pd 0.5000 0.5000 0.0000
Pd 0.6028 0.1028 0.5000
Pd 0.7500 0.2500 0.5000
Pd 0.8972 0.3972 0.5000


Record 18
! PBE-GGA Tb3Ga8Pd3, relaxed; values from VASP
! Energy above the most stable polymorph in this dataset (meV per atom): 17
! DFT formation energy (meV per atom): -701
! Total magnetization (μB per cell): 0.000
! Calculated density (Mg/m³): 8.639
! V (Å³ per atom): 18.6
&SYSTEM
  ibrav = 0, nat = 14, ntyp = 3
/
ATOMIC_SPECIES
Tb 158.93 Tb.upf
Ga 69.72 Ga.upf
Pd 106.42 Pd.upf
CELL_PARAMETERS angstrom
7.8459 -2.1709 0.0000
7.8459 2.1709 0.0000
-5.5559 0.0000 7.6392
ATOMIC_POSITIONS crystal
Tb 0.0000 0.0000 0.0000
Tb 0.2937 0.2937 0.2944
Tb 0.7063 0.7063 0.7056
Ga 0.1418 0.1418 0.4285
Ga 0.1481 0.1481 0.8659
Ga 0.3461 0.3461 0.7179
Ga 0.4978 0.4978 0.3212
Ga 0.5022 0.5022 0.6788
Ga 0.6539 0.6539 0.2821
Ga 0.8519 0.8519 0.1341
Ga 0.8582 0.8582 0.5715
Pd 0.0000 0.0000 0.5000
Pd 0.3511 0.3511 0.9905
Pd 0.6489 0.6489 0.0095


Record 19
! PBE-GGA Tb3GaPd12, relaxed; values from VASP
! DFT formation energy (meV per atom): -763
! Total magnetization (μB per cell): 0.000
! Calculated density (Mg/m³): 11.137
! V (Å³ per atom): 17.0
&SYSTEM
  ibrav = 0, nat = 16, ntyp = 3
/
ATOMIC_SPECIES
Tb 158.93 Tb.upf
Ga 69.72 Ga.upf
Pd 106.42 Pd.upf
CELL_PARAMETERS angstrom
4.1120 0.0000 0.0000
0.0000 4.1120 0.0000
0.0000 0.0000 16.0807
ATOMIC_POSITIONS crystal
Tb 0.0000 0.0000 0.0000
Tb 0.0000 0.0000 0.2578
Tb 0.0000 0.0000 0.7422
Ga 0.0000 0.0000 0.5000
Pd 0.0000 0.5000 0.1289
Pd 0.0000 0.5000 0.3877
Pd 0.0000 0.5000 0.6123
Pd 0.0000 0.5000 0.8711
Pd 0.5000 0.0000 0.1289
Pd 0.5000 0.0000 0.3877
Pd 0.5000 0.0000 0.6123
Pd 0.5000 0.0000 0.8711
Pd 0.5000 0.5000 0.0000
Pd 0.5000 0.5000 0.2584
Pd 0.5000 0.5000 0.5000
Pd 0.5000 0.5000 0.7416


Record 20
! PBE-GGA TbGa2Pd9, relaxed; values from VASP
! DFT formation energy (meV per atom): -587
! Total magnetization (μB per cell): 0.000
! Calculated density (Mg/m³): 10.889
! V (Å³ per atom): 16.0
&SYSTEM
  ibrav = 0, nat = 12, ntyp = 3
/
ATOMIC_SPECIES
Tb 158.93 Tb.upf
Ga 69.72 Ga.upf
Pd 106.42 Pd.upf
CELL_PARAMETERS angstrom
4.0316 0.0000 0.0000
0.0000 4.0316 0.0000
0.0000 0.0000 11.7853
ATOMIC_POSITIONS crystal
Tb 0.0000 0.0000 0.0000
Ga 0.0000 0.0000 0.3427
Ga 0.0000 0.0000 0.6573
Pd 0.0000 0.5000 0.1815
Pd 0.0000 0.5000 0.5000
Pd 0.0000 0.5000 0.8185
Pd 0.5000 0.0000 0.1815
Pd 0.5000 0.0000 0.5000
Pd 0.5000 0.0000 0.8185
Pd 0.5000 0.5000 0.0000
Pd 0.5000 0.5000 0.3395
Pd 0.5000 0.5000 0.6605